{
  "formula": "LaBeMo2",
  "functional": "PBE",
  "state": "relaxed",
  "cell": [[3.242, 0.000, 0.000], [0.000, 3.242, 0.000], [0.000, 0.000, 7.006]],
  "species": ["La", "Be", "Mo", "Mo"],
  "fractional_positions": [[0.000, 0.000, 0.000], [0.500, 0.500, 0.672], [0.000, 0.000, 0.513], [0.500, 0.500, 0.317]]
}



{
  "formula": "LaBeMo",
  "functional": "PBE",
  "state": "relaxed",
  "cell": [[-1.455, 1.455, 6.469], [1.455, -1.455, 6.469], [1.455, 1.455, -6.469]],
  "species": ["La", "Be", "Mo"],
  "fractional_positions": [[0.000, 0.000, 0.000], [0.320, 0.320, 0.000], [0.708, 0.708, 0.000]]
}



{
  "formula": "La2BeMo",
  "functional": "PBE",
  "state": "relaxed",
  "cell": [[1.810, 1.045, 8.799], [-1.810, 1.045, 8.799], [0.000, -2.090, 8.799]],
  "species": ["La", "La", "Be", "Mo"],
  "fractional_positions": [[0.248, 0.248, 0.248], [0.752, 0.752, 0.752], [0.000, 0.000, 0.000], [0.500, 0.500, 0.500]]
}



Number 1: ΔH_f (0 K) 20.9 kJ/mol of atoms. Number 2: ΔH_f (0 K) 46.9 kJ/mol of atoms. Number 3: ΔH_f (0 K) 71.9 kJ/mol of atoms.